Computed, not measured: a relaxed Tm5Hg2OsRh2 crystal at the PBE-GGA level of DFT.

Lattice parameters (Å, degrees): 11.428 11.428 3.482 90.00 90.00 90.00
Sites, in units of the cell vectors:
Tm  0.000  0.500  0.000
Tm  0.074  0.192  0.000
Tm  0.192  0.926  0.000
Tm  0.308  0.426  0.000
Tm  0.426  0.692  0.000
Tm  0.500  0.000  0.000
Tm  0.574  0.308  0.000
Tm  0.692  0.574  0.000
Tm  0.808  0.074  0.000
Tm  0.926  0.808  0.000
Hg  0.174  0.674  0.500
Hg  0.326  0.174  0.500
Hg  0.674  0.826  0.500
Hg  0.826  0.326  0.500
Os  0.000  0.000  0.500
Os  0.500  0.500  0.500
Rh  0.131  0.369  0.500
Rh  0.369  0.869  0.500
Rh  0.631  0.131  0.500
Rh  0.869  0.631  0.500

Results
mass density: 11.99 g/cm³
DFT total energy: -5.40 eV per atom
calculated formation energy: -508 meV per atom
symmetry: P4/mbm (127)